No. 1
VASP calculation (meta-GGA SCAN) on a crystal of TiO2 relaxed with PBEsol.

```
TiO2
1.0
-4.2835 -1.2961 3.4463
1.1330 -3.2822 -4.4552
3.8197 -3.3935 3.4714
Ti O
3 6
direct
0.0000 0.4774 0.3333 Ti
0.4774 0.0000 0.0000 Ti
0.5226 0.5226 0.6667 Ti
0.7470 0.1693 0.1984 O
0.8307 0.5776 0.5317 O
0.5776 0.8307 0.8016 O
0.4224 0.2530 0.8650 O
0.2530 0.4224 0.4683 O
0.1693 0.7470 0.1350 O
```

For the volume, the calculation gives 171 Å³ per cell. As for the energy relative to the elements, uncorrected: -3175.0 meV/atom.

No. 2
VASP calculation (meta-GGA SCAN) on a crystal of TiTl3O relaxed with PBEsol.

```
TiTl3O
1.0
-2.7799 -1.6931 -3.5285
-0.3516 -4.2025 2.2934
-3.8978 1.5865 2.3096
Tl Ti O
3 1 1
direct
0.0000 0.0000 0.5000 Tl
0.0000 0.5000 0.0000 Tl
0.5000 0.0000 0.0000 Tl
0.5000 0.5000 0.5000 Ti
0.0000 0.0000 0.0000 O
```

For the volume, the calculation gives 111 Å³ per cell. As for the energy relative to the elements, uncorrected: 214.5 meV/atom.

No. 3
VASP calculation (meta-GGA SCAN) on a crystal of TiTl2O3 relaxed with PBEsol.

```
TiTl2O3
1.0
-1.8015 -2.4177 2.2939
4.9019 -7.2855 -3.8291
8.8573 1.4825 8.5182
Tl O Ti
8 12 4
direct
0.7500 0.2560 0.6553 Tl
0.7500 0.8702 0.0951 Tl
0.2500 0.7560 0.8447 Tl
0.2500 0.7440 0.3447 Tl
0.7500 0.2440 0.1553 Tl
0.2500 0.3702 0.4049 Tl
0.2500 0.1298 0.9049 Tl
0.7500 0.6298 0.5951 Tl
0.7500 0.5860 0.7985 O
0.2500 0.4579 0.9458 O
0.2500 0.0421 0.4458 O
0.7500 0.2170 0.3483 O
0.2500 0.4140 0.2015 O
0.7500 0.5421 0.0542 O
0.2500 0.0860 0.7015 O
0.2500 0.7170 0.1517 O
0.7500 0.9579 0.5542 O
0.7500 0.9140 0.2985 O
0.7500 0.2830 0.8483 O
0.2500 0.7830 0.6517 O
0.7500 0.0408 0.4039 Ti
0.7500 0.4592 0.9039 Ti
0.2500 0.9592 0.5961 Ti
0.2500 0.5408 0.0961 Ti
```

For the volume, the calculation gives 449 Å³ per cell. As for the energy relative to the elements, uncorrected: -2062.4 meV/atom.

No. 4
VASP calculation (meta-GGA SCAN) on a crystal of TiV2O7 relaxed with PBEsol.

```
TiV2O7
1.0
-2.4908 6.6093 -4.8920
1.5869 -4.6290 -7.0620
-8.0682 -2.9508 0.1212
O V Ti
28 8 4
direct
0.0953 0.5641 0.6941 O
0.6941 0.4047 0.0641 O
0.5000 0.5000 0.5000 O
0.9359 0.3059 0.5953 O
0.0000 0.5000 0.0000 O
0.4047 0.0641 0.6941 O
0.0953 0.9359 0.1941 O
0.5000 0.0000 0.0000 O
0.5953 0.5641 0.8059 O
0.9047 0.0641 0.8059 O
0.0641 0.6941 0.4047 O
0.3059 0.9047 0.4359 O
0.0000 0.0000 0.5000 O
0.4359 0.3059 0.9047 O
0.9047 0.4359 0.3059 O
0.3059 0.5953 0.9359 O
0.8059 0.5953 0.5641 O
0.9359 0.1941 0.0953 O
0.1941 0.4047 0.4359 O
0.4047 0.4359 0.1941 O
0.5641 0.8059 0.5953 O
0.8059 0.9047 0.0641 O
0.4359 0.1941 0.4047 O
0.6941 0.0953 0.5641 O
0.1941 0.0953 0.9359 O
0.0641 0.8059 0.9047 O
0.5641 0.6941 0.0953 O
0.5953 0.9359 0.3059 O
0.8818 0.1182 0.6182 V
0.6182 0.8818 0.1182 V
0.6182 0.6182 0.6182 V
0.3818 0.1182 0.8818 V
0.8818 0.3818 0.1182 V
0.1182 0.8818 0.3818 V
0.3818 0.3818 0.3818 V
0.1182 0.6182 0.8818 V
0.5000 0.5000 0.0000 Ti
0.5000 0.0000 0.5000 Ti
0.0000 0.0000 0.0000 Ti
0.0000 0.5000 0.5000 Ti
```

For the volume, the calculation gives 634 Å³ per cell. As for the energy relative to the elements, uncorrected: -2752.2 meV/atom.

No. 5
VASP calculation (meta-GGA SCAN) on a crystal of Ti3W2O12 relaxed with PBEsol.

```
Ti3W2O12
1.0
-7.9798 3.8030 2.8195
-4.6214 -7.6404 -2.7742
1.6442 -5.2678 11.7690
O Ti W
48 12 8
direct
0.9118 0.6558 0.5902 O
0.4152 0.5823 0.3620 O
0.3135 0.0054 0.2537 O
0.1467 0.6986 0.8387 O
0.5848 0.4177 0.6380 O
0.9152 0.9177 0.8620 O
0.3594 0.3748 0.9313 O
0.1855 0.9951 0.7535 O
0.0848 0.0823 0.1380 O
0.8533 0.3014 0.1613 O
0.4152 0.9180 0.6388 O
0.1865 0.5054 0.2463 O
0.6865 0.9946 0.7463 O
0.0848 0.4180 0.8612 O
0.1399 0.6248 0.4313 O
0.3138 0.4361 0.5222 O
0.4118 0.8442 0.0902 O
0.1406 0.8748 0.5687 O
0.6862 0.5639 0.4778 O
0.5848 0.0820 0.3612 O
0.6399 0.8752 0.9313 O
0.3538 0.3016 0.3389 O
0.3145 0.4951 0.7465 O
0.3533 0.1986 0.6613 O
0.3148 0.0637 0.4780 O
0.8138 0.0639 0.0222 O
0.9152 0.5820 0.1388 O
0.6852 0.9363 0.5220 O
0.8145 0.0049 0.2465 O
0.1862 0.9361 0.9778 O
0.6855 0.5049 0.2535 O
0.4118 0.6555 0.9106 O
0.5882 0.3445 0.0894 O
0.3601 0.1248 0.0687 O
0.1852 0.5637 0.0220 O
0.0882 0.3442 0.4098 O
0.1462 0.8016 0.1611 O
0.6406 0.6252 0.0687 O
0.8148 0.4363 0.9780 O
0.5882 0.1558 0.9098 O
0.8538 0.1984 0.8389 O
0.8135 0.4946 0.7537 O
0.9118 0.8445 0.4106 O
0.8594 0.1252 0.4313 O
0.6467 0.8014 0.3387 O
0.8601 0.3752 0.5687 O
0.6462 0.6984 0.6611 O
0.0882 0.1555 0.5894 O
0.1086 0.6132 0.1419 Ti
0.3914 0.1132 0.3581 Ti
0.8914 0.3868 0.8581 Ti
0.3913 0.3869 0.6418 Ti
0.0263 0.7499 0.5002 Ti
0.9737 0.2501 0.4998 Ti
0.1087 0.8869 0.8582 Ti
0.6086 0.8868 0.6419 Ti
0.5263 0.7501 0.0002 Ti
0.8913 0.1131 0.1418 Ti
0.4737 0.2499 0.9998 Ti
0.6087 0.6131 0.3582 Ti
0.2514 0.9676 0.1194 W
0.7486 0.4676 0.1194 W
0.7514 0.5324 0.6194 W
0.2514 0.5324 0.8806 W
0.7514 0.9676 0.3806 W
0.2486 0.0324 0.6194 W
0.2486 0.4676 0.3806 W
0.7486 0.0324 0.8806 W
```

For the volume, the calculation gives 1128 Å³ per cell. As for the energy relative to the elements, uncorrected: -2698.7 meV/atom.

No. 6
VASP calculation (meta-GGA SCAN) on a crystal of YTiO3 relaxed with PBEsol.

```
YTiO3
1.0
-3.2619 0.7825 0.9297
0.6150 -2.7485 -2.0456
1.0846 -6.9321 9.6400
Ti Y O
2 2 6
direct
0.6667 0.3333 0.7500 Ti
0.3333 0.6667 0.2500 Ti
0.0000 0.0000 0.5000 Y
0.0000 0.0000 0.0000 Y
0.3333 0.6667 0.4152 O
0.0000 0.0000 0.2500 O
0.0000 0.0000 0.7500 O
0.6667 0.3333 0.9152 O
0.6667 0.3333 0.5848 O
0.3333 0.6667 0.0848 O
```

For the volume, the calculation gives 125 Å³ per cell. As for the energy relative to the elements, uncorrected: -3510.0 meV/atom.

No. 7
VASP calculation (meta-GGA SCAN) on a crystal of Y2Ti3O9 relaxed with PBEsol.

```
Y2Ti3O9
1.0
5.2347 0.0000 0.0000
0.0000 7.5938 0.0000
0.0000 0.0000 16.3737
O Ti Y
36 12 8
direct
0.7268 0.4673 0.7580 O
0.1059 0.2500 0.1541 O
0.1836 0.5307 0.0611 O
0.9123 0.7500 0.5090 O
0.7062 0.0682 0.0965 O
0.8941 0.7500 0.8459 O
0.2732 0.5327 0.2420 O
0.2062 0.5682 0.4035 O
0.6836 0.4693 0.4389 O
0.0877 0.2500 0.4910 O
0.8164 0.4693 0.9389 O
0.8164 0.0307 0.9389 O
0.1836 0.9693 0.0611 O
0.2268 0.5327 0.7420 O
0.6059 0.7500 0.3459 O
0.3164 0.9693 0.5611 O
0.2938 0.9318 0.9035 O
0.3941 0.2500 0.6541 O
0.7268 0.0327 0.7580 O
0.2938 0.5682 0.9035 O
0.7062 0.4318 0.0965 O
0.7938 0.4318 0.5965 O
0.4123 0.2500 0.9910 O
0.4393 0.2500 0.3304 O
0.5877 0.7500 0.0090 O
0.9393 0.7500 0.1696 O
0.2062 0.9318 0.4035 O
0.5607 0.7500 0.6696 O
0.7938 0.0682 0.5965 O
0.2268 0.9673 0.7420 O
0.7732 0.0327 0.2580 O
0.2732 0.9673 0.2420 O
0.6836 0.0307 0.4389 O
0.7732 0.4673 0.2580 O
0.0607 0.2500 0.8304 O
0.3164 0.5307 0.5611 O
0.5025 0.0067 0.3346 Ti
0.5000 0.0000 0.0000 Ti
0.0025 0.5067 0.1654 Ti
0.9975 0.4933 0.8346 Ti
0.0025 0.9933 0.1654 Ti
0.0000 0.5000 0.5000 Ti
0.5000 0.5000 0.0000 Ti
0.4975 0.9933 0.6654 Ti
0.0000 0.0000 0.5000 Ti
0.5025 0.4933 0.3346 Ti
0.9975 0.0067 0.8346 Ti
0.4975 0.5067 0.6654 Ti
0.0162 0.7500 0.3120 Y
0.0096 0.7500 0.9825 Y
0.5162 0.2500 0.1880 Y
0.9838 0.2500 0.6880 Y
0.5096 0.2500 0.5175 Y
0.4904 0.7500 0.4825 Y
0.4838 0.7500 0.8120 Y
0.9904 0.2500 0.0175 Y
```

For the volume, the calculation gives 651 Å³ per cell. As for the energy relative to the elements, uncorrected: -3556.8 meV/atom.

No. 8
VASP calculation (meta-GGA SCAN) on a crystal of YTiO3 relaxed with PBEsol.

```
YTiO3
1.0
-3.3154 1.8826 0.5054
-1.9492 -3.2004 -0.8656
-0.0032 -1.0024 3.7131
Y O Ti
1 3 1
direct
0.5000 0.5000 0.5000 Y
0.0000 0.0000 0.5000 O
0.0000 0.5000 0.0000 O
0.5000 0.0000 0.0000 O
0.0000 0.0000 0.0000 Ti
```

For the volume, the calculation gives 57 Å³ per cell. As for the energy relative to the elements, uncorrected: -3272.7 meV/atom.

No. 9
VASP calculation (meta-GGA SCAN) on a crystal of Y2Ti2O7 relaxed with PBEsol.

```
Y2Ti2O7
1.0
7.1098 0.0000 0.0000
3.5549 6.1573 0.0000
3.5549 2.0524 5.8051
Y O Ti
4 14 4
direct
0.6250 0.1250 0.6250 Y
0.6250 0.6250 0.6250 Y
0.6250 0.6250 0.1250 Y
0.1250 0.6250 0.6250 Y
0.2057 0.7943 0.2057 O
0.4557 0.0443 0.0443 O
0.7943 0.2057 0.2057 O
0.2057 0.2057 0.7943 O
0.5000 0.5000 0.5000 O
0.0443 0.0443 0.4557 O
0.4557 0.0443 0.4557 O
0.0443 0.4557 0.0443 O
0.0443 0.4557 0.4557 O
0.4557 0.4557 0.0443 O
0.7500 0.7500 0.7500 O
0.7943 0.2057 0.7943 O
0.2057 0.7943 0.7943 O
0.7943 0.7943 0.2057 O
0.1250 0.1250 0.1250 Ti
0.6250 0.1250 0.1250 Ti
0.1250 0.6250 0.1250 Ti
0.1250 0.1250 0.6250 Ti
```

For the volume, the calculation gives 254 Å³ per cell. As for the energy relative to the elements, uncorrected: -3678.7 meV/atom.

No. 10
VASP calculation (meta-GGA SCAN) on a crystal of YTiO3 relaxed with PBEsol.

```
YTiO3
1.0
5.2689 0.0000 0.0000
0.0000 5.6533 0.0000
0.0000 0.0000 7.5831
O Y Ti
12 4 4
direct
0.1216 0.4540 0.2500 O
0.1896 0.1979 0.9423 O
0.3784 0.9540 0.2500 O
0.8104 0.8021 0.4423 O
0.3104 0.6979 0.5577 O
0.1896 0.1979 0.5577 O
0.6896 0.3021 0.4423 O
0.6896 0.3021 0.0577 O
0.8104 0.8021 0.0577 O
0.8784 0.5460 0.7500 O
0.6216 0.0460 0.7500 O
0.3104 0.6979 0.9423 O
0.0224 0.9270 0.7500 Y
0.4776 0.4270 0.7500 Y
0.5224 0.5730 0.2500 Y
0.9776 0.0730 0.2500 Y
0.5000 0.0000 0.0000 Ti
0.5000 0.0000 0.5000 Ti
0.0000 0.5000 0.0000 Ti
0.0000 0.5000 0.5000 Ti
```

For the volume, the calculation gives 226 Å³ per cell. As for the energy relative to the elements, uncorrected: -3563.9 meV/atom.

No. 11
VASP calculation (meta-GGA SCAN) on a crystal of YTiO3 relaxed with PBEsol.

```
YTiO3
1.0
-3.0562 -0.5954 -5.1277
5.9430 -0.8157 0.0618
-1.6055 -11.5228 2.2948
O Y Ti
18 6 6
direct
0.0000 0.6981 0.3342 O
0.0000 0.0000 0.0244 O
0.3636 0.3636 0.6624 O
0.6667 0.3333 0.9781 O
0.3019 0.3019 0.3342 O
0.3333 0.6667 0.9781 O
0.0000 0.6364 0.6624 O
0.6364 0.0000 0.6624 O
0.3333 0.6667 0.4781 O
0.6667 0.3333 0.4781 O
0.0000 0.3636 0.1624 O
0.3019 0.0000 0.8342 O
0.3636 0.0000 0.1624 O
0.0000 0.0000 0.5244 O
0.6981 0.0000 0.3342 O
0.0000 0.3019 0.8342 O
0.6981 0.6981 0.8342 O
0.6364 0.6364 0.1624 O
0.6667 0.3333 0.7696 Y
0.0000 0.0000 0.2193 Y
0.6667 0.3333 0.2696 Y
0.3333 0.6667 0.2696 Y
0.0000 0.0000 0.7193 Y
0.3333 0.6667 0.7696 Y
0.0000 0.3342 0.9987 Ti
0.6658 0.6658 0.9987 Ti
0.0000 0.6658 0.4987 Ti
0.3342 0.0000 0.9987 Ti
0.6658 0.0000 0.4987 Ti
0.3342 0.3342 0.4987 Ti
```

For the volume, the calculation gives 370 Å³ per cell. As for the energy relative to the elements, uncorrected: -3536.6 meV/atom.

No. 12
VASP calculation (meta-GGA SCAN) on a crystal of Ti3Zn2O8 relaxed with PBEsol.

```
Ti3Zn2O8
1.0
5.9060 0.0000 0.0000
-2.9530 5.1148 0.0000
0.0000 0.0000 9.3442
O Ti Zn
16 6 4
direct
0.5177 0.0355 0.6337 O
0.8375 0.1625 0.3562 O
0.6750 0.8375 0.8562 O
0.6667 0.3333 0.8675 O
0.5177 0.4823 0.6337 O
0.3250 0.1625 0.3562 O
0.1625 0.8375 0.8562 O
0.0355 0.5177 0.1337 O
0.4823 0.5177 0.1337 O
0.8375 0.6750 0.3562 O
0.4823 0.9645 0.1337 O
0.1625 0.3250 0.8562 O
0.3333 0.6667 0.3675 O
0.0000 0.0000 0.6481 O
0.0000 0.0000 0.1481 O
0.9645 0.4823 0.6337 O
0.6751 0.8376 0.2564 Ti
0.8376 0.1624 0.7564 Ti
0.1624 0.8376 0.2564 Ti
0.1624 0.3249 0.2564 Ti
0.8376 0.6751 0.7564 Ti
0.3249 0.1624 0.7564 Ti
0.6667 0.3333 0.4703 Zn
0.3333 0.6667 0.5817 Zn
0.3333 0.6667 0.9703 Zn
0.6667 0.3333 0.0817 Zn
```

For the volume, the calculation gives 282 Å³ per cell. As for the energy relative to the elements, uncorrected: -2769.9 meV/atom.

What did we get for total DFT energy (no corrections)? Answer: -12.672; -47.653; -31.969; -12.215; -18.125; -16.023; -14.975; -15.786; -15.621; -16.077; -16.050; -12.383 eV per atom, in the order shown.